# 1
## BaVOF2 (PBE with a Hubbard U)

Data for a geometry-optimized BaVOF2 structure.

excess energy over the best structure of this formula in the dataset = 0.000 eV/atom

Unit cell a=4.189 b=4.189 c=4.311 alpha=90.00 beta=90.00 gamma=90.00
Each line ends with the local moment (μB).
Fractional positions:
1 V 0.000 0.000 0.000  2.70
2 F 0.000 0.500 0.000  0.02
3 F 0.500 0.000 0.000  0.02
4 Ba 0.500 0.500 0.500  0.01
5 O 0.000 0.000 0.500  0.02

# 2
## BaVO2F (PBE with a Hubbard U)

Data for a geometry-optimized BaVO2F structure.

energy = -0.2536 hartree per atom

Unit cell a=4.063 b=4.063 c=4.205 alpha=90.00 beta=90.00 gamma=90.00
Each line ends with the local moment (μB).
Fractional positions:
1 V 0.000 0.000 0.000  1.88
2 F 0.000 0.000 0.500  0.01
3 O 0.000 0.500 0.000  -0.01
4 Ba 0.500 0.500 0.500  0.00
5 O 0.500 0.000 0.000  -0.01

# 3
## BaVO2F (PBE with a Hubbard U)

Data for a geometry-optimized BaVO2F structure.

energy = -0.1784 hartree per atom

Unit cell a=4.725 b=4.725 c=4.914 alpha=90.00 beta=90.00 gamma=90.00
Each line ends with the local moment (μB).
Fractional positions:
1 V 0.500 0.500 0.500  -3.14
2 O 0.000 0.500 0.000  -0.18
3 F 0.000 0.000 0.500  0.00
4 O 0.500 0.000 0.000  -0.18
5 Ba 0.000 0.000 0.000  -0.10

# 4
## BaVOF4 (PBE with a Hubbard U)

Data for a geometry-optimized BaVOF4 structure.

energy = -0.2285 hartree per atom

Unit cell a=14.649 b=14.584 c=5.497 alpha=79.83 beta=78.50 gamma=21.68
Each line ends with the local moment (μB).
Fractional positions:
1 F 0.645 0.579 0.018  0.01
2 F 0.967 0.134 0.204  0.01
3 F 0.969 0.972 0.699  0.00
4 F 0.232 0.492 0.605  0.01
5 V 0.416 0.929 0.575  1.07
6 O 0.818 0.777 0.863  -0.11
7 F 0.228 0.038 0.300  0.00
8 F 0.116 0.283 0.555  0.01
9 O 0.473 0.432 0.707  -0.11
10 F 0.046 0.555 0.283  0.01
11 F 0.758 0.018 0.579  0.01
12 F 0.361 0.699 0.972  0.00
13 Ba 0.945 0.446 0.058  0.00
14 F 0.695 0.204 0.134  0.01
15 F 0.278 0.281 0.889  0.00
16 Ba 0.804 0.305 0.699  0.00
17 F 0.434 0.300 0.038  0.00
18 V 0.675 0.170 0.834  1.07
19 V 0.321 0.834 0.170  1.07
20 O 0.387 0.707 0.432  -0.11
21 Ba 0.551 0.058 0.446  0.00
22 F 0.212 0.022 0.816  0.00
23 Ba 0.192 0.699 0.305  0.00
24 F 0.671 0.605 0.492  0.01
25 F 0.551 0.889 0.281  0.00
26 O 0.543 0.863 0.777  -0.11
27 V 0.080 0.575 0.929  1.07
28 F 0.950 0.816 0.022  0.00

# 5
## BaVOF2 (PBE with a Hubbard U)

Data for a geometry-optimized BaVOF2 structure.

excess energy over the best structure of this formula in the dataset = 1.515 eV/atom

Unit cell a=4.939 b=4.939 c=4.966 alpha=90.00 beta=90.00 gamma=90.00
Each line ends with the local moment (μB).
Fractional positions:
1 V 0.500 0.500 0.500  3.17
2 F 0.500 0.000 0.000  -0.01
3 Ba 0.000 0.000 0.000  0.04
4 F 0.000 0.500 0.000  -0.01
5 O 0.000 0.000 0.500  0.09

# 6
## BaWO2F (PBE with a Hubbard U)

Data for a geometry-optimized BaWO2F structure.

energy = -0.2392 hartree per atom

Unit cell a=4.315 b=4.315 c=4.255 alpha=90.00 beta=90.00 gamma=90.00
Each line ends with the local moment (μB).
Fractional positions:
1 W 0.000 0.000 0.000  2.69
2 Ba 0.500 0.500 0.500  0.01
3 O 0.000 0.500 0.000  0.07
4 O 0.500 0.000 0.000  0.07
5 F 0.000 0.000 0.500  0.03

# 7
## Ba2WO2F4 (PBE with a Hubbard U)

Data for a geometry-optimized Ba2WO2F4 structure.

energy = -0.2259 hartree per atom

Unit cell a=4.551 b=6.077 c=6.077 alpha=58.79 beta=87.27 gamma=87.27
Each line ends with the local moment (μB).
Fractional positions:
1 Ba 0.777 0.323 0.323  0.00
2 O 0.718 0.831 0.831  0.01
3 F 0.262 0.193 0.662  0.02
4 F 0.738 0.807 0.338  0.02
5 Ba 0.223 0.677 0.677  0.00
6 O 0.282 0.169 0.169  0.01
7 W 0.500 0.000 0.000  1.89
8 F 0.738 0.338 0.807  0.02
9 F 0.262 0.662 0.193  0.02

# 8
## BaWO2F (PBE with a Hubbard U)

Data for a geometry-optimized BaWO2F structure.

energy = -0.1651 hartree per atom

Unit cell a=4.887 b=4.887 c=4.799 alpha=90.00 beta=90.00 gamma=90.00
Each line ends with the local moment (μB).
Fractional positions:
1 F 0.000 0.000 0.500  0.04
2 O 0.500 0.000 0.000  -0.60
3 O 0.000 0.500 0.000  -0.60
4 W 0.500 0.500 0.500  3.62
5 Ba 0.000 0.000 0.000  -0.10

Repeat the first record exactly.
## BaVOF2 (PBE with a Hubbard U)

Data for a geometry-optimized BaVOF2 structure.

excess energy over the best structure of this formula in the dataset = 0.000 eV/atom

Unit cell a=4.189 b=4.189 c=4.311 alpha=90.00 beta=90.00 gamma=90.00
Each line ends with the local moment (μB).
Fractional positions:
1 V 0.000 0.000 0.000  2.70
2 F 0.000 0.500 0.000  0.02
3 F 0.500 0.000 0.000  0.02
4 Ba 0.500 0.500 0.500  0.01
5 O 0.000 0.000 0.500  0.02

Question: Number 7 is which compound?
Answer: Ba2WO2F4